1.
LiCoIr2 after structural relaxation. Source: Alexandria, functional PBE-GGA.

Output
**Energy of formation**: 0.04 eV per atom
**Space group**: P4/mmm
**Volume**: 53.2 Å³ per cell
**DOS(E_F)**: 1.000 states/eV/atom
**Energy above the most stable polymorph in this dataset**: 76 meV/atom

a = 2.649 Å, b = 2.649 Å, c = 7.584 Å
α = 90.00°, β = 90.00°, γ = 90.00°
Each line ends with the local moment (μB).
Positions (direct):
1 Li 0.500 0.500 0.250  -0.01
2 Co 0.500 0.500 0.750  0.83
3 Ir 0.000 0.000 0.980  0.04
4 Ir 0.000 0.000 0.520  0.04

---

2.
Zr2TcPt after structural relaxation. Source: Alexandria, functional PBE-GGA.

Output
**Energy of formation**: -0.46 eV per atom
**Space group**: I-4m2
**Volume**: 73.5 Å³ per cell
**DOS(E_F)**: 0.892 states/eV/atom

a = 5.424 Å, b = 5.424 Å, c = 5.424 Å
α = 136.92°, β = 136.92°, γ = 62.56°
Positions (direct):
1 Zr 0.250 0.750 0.500
2 Zr 0.000 0.000 0.000
3 Pt 0.500 0.500 0.000
4 Tc 0.750 0.250 0.500